(a)
# CoTc3H PBE-GGA optimized geometry
data_CoTc3H
_chemical_formula_sum 'Co1 Tc3 H1'
_space_group_name_H-M_alt 'P m -3 m'
_space_group_IT_number 221
_space_group_name_Hall '-P 4 2 3'
_cell_length_a 3.840
_cell_length_b 3.840
_cell_length_c 3.840
_cell_angle_alpha 90.00
_cell_angle_beta 90.00
_cell_angle_gamma 90.00
loop_
_atom_site_label
_atom_site_type_symbol
_atom_site_fract_x
_atom_site_fract_y
_atom_site_fract_z
Co1 Co 0.000 0.000 0.000
Tc1 Tc 0.000 0.500 0.500
H1 H 0.500 0.500 0.500
# Magnetic moment (μB/f.u.): 0.00
# ρ (g/cm³): 10.38
# DOS at the Fermi energy (states/eV/cell): 4.6

---

(b)
# CoTc3H PBE-GGA optimized geometry
data_CoTc3H
_chemical_formula_sum 'Co1 Tc3 H1'
_space_group_name_H-M_alt 'P m -3 m'
_space_group_IT_number 221
_space_group_name_Hall '-P 4 2 3'
_cell_length_a 4.393
_cell_length_b 4.393
_cell_length_c 4.393
_cell_angle_alpha 90.00
_cell_angle_beta 90.00
_cell_angle_gamma 90.00
loop_
_atom_site_label
_atom_site_type_symbol
_atom_site_fract_x
_atom_site_fract_y
_atom_site_fract_z
Co1 Co 0.000 0.000 0.000
Tc1 Tc 0.000 0.000 0.500
H1 H 0.500 0.500 0.500
# Magnetic moment (μB/f.u.): 0.00
# ρ (g/cm³): 6.93
# DOS at the Fermi energy (states/eV/cell): 5.9

---

In terms of stability, (a) leads; the second structure lies 1999 meV/atom higher.

---

(a)
# CoTcH2 PBE-GGA optimized geometry
data_CoTcH2
_chemical_formula_sum 'Co3 Tc3 H6'
_space_group_name_H-M_alt 'R -3 m'
_space_group_IT_number 166
_space_group_name_Hall '-R 3 2"'
_cell_length_a 2.7578
_cell_length_b 2.7578
_cell_length_c 14.0153
_cell_angle_alpha 90.00
_cell_angle_beta 90.00
_cell_angle_gamma 120.00
loop_
_atom_site_label
_atom_site_type_symbol
_atom_site_fract_x
_atom_site_fract_y
_atom_site_fract_z
Co1 Co 0.0000 0.0000 0.0000
Tc1 Tc 0.0000 0.0000 0.5000
H1 H 0.0000 0.0000 0.3713
# Magnetic moment (μB/f.u.): 0.00
# ρ (g/cm³): 8.58
# DOS at the Fermi energy (states/eV/cell): 7.7

---

(b)
# CoTcH2 PBE-GGA optimized geometry
data_CoTcH2
_chemical_formula_sum 'Co4 Tc4 H8'
_space_group_name_H-M_alt 'I -4 2 d'
_space_group_IT_number 122
_space_group_name_Hall 'I -4 2bw'
_cell_length_a 3.940
_cell_length_b 3.940
_cell_length_c 8.014
_cell_angle_alpha 90.00
_cell_angle_beta 90.00
_cell_angle_gamma 90.00
loop_
_atom_site_label
_atom_site_type_symbol
_atom_site_fract_x
_atom_site_fract_y
_atom_site_fract_z
Co1 Co 0.000 0.000 0.000
Tc1 Tc 0.000 0.000 0.500
H1 H 0.201 0.250 0.125
# Magnetic moment (μB/f.u.): 0.00
# ρ (g/cm³): 8.49
# DOS at the Fermi energy (states/eV/cell): 9.7

---

In terms of stability, (b) leads; the second structure lies 30 meV/atom higher.